(1)
Below is an optimized crystal structure of HfMnOs3, with properties calculated at the PBE level.

Formation energy from the elements: 1.01 eV/atom
Excess energy over the best structure of this formula in the dataset: 0 meV/atom

Lattice parameters (Å, degrees): 4.4280 4.4280 4.4280 90.00 90.00 90.00
Closest atoms and distances in Å follow each position.
Sites, in units of the cell vectors:
Hf 0.0000 0.0000 0.0000  12 Os 3.13
Mn 0.5000 0.5000 0.5000  6 Os 2.21
Os 0.0000 0.5000 0.5000  2 Mn 2.21
Os 0.5000 0.0000 0.5000  2 Mn 2.21
Os 0.5000 0.5000 0.0000  2 Mn 2.21

***

(2)
Below is an optimized crystal structure of Mg3Sb5Pb12, with properties calculated at the PBE level.

Energy relative to the elements, uncorrected: 144 meV per atom

Lattice parameters (Å, degrees): 15.5194 15.5194 15.5194 109.47 109.47 109.47
Closest atoms and distances in Å follow each position.
Sites, in units of the cell vectors:
Mg 0.1250 0.2500 0.3750  4 Pb 3.00
Mg 0.1250 0.3750 0.7500  4 Pb 3.00
Mg 0.2500 0.3750 0.1250  4 Pb 3.00
Mg 0.2500 0.8750 0.6250  4 Pb 3.00
Mg 0.3750 0.1250 0.2500  4 Pb 3.00
Mg 0.3750 0.7500 0.1250  4 Pb 3.00
Mg 0.6250 0.2500 0.8750  4 Pb 3.00
Mg 0.6250 0.8750 0.7500  4 Pb 3.00
Mg 0.7500 0.1250 0.3750  4 Pb 3.00
Mg 0.7500 0.6250 0.8750  4 Pb 3.00
Mg 0.8750 0.6250 0.2500  4 Pb 3.00
Mg 0.8750 0.7500 0.6250  4 Pb 3.00
Sb 0.0000 0.0000 0.0000  6 Pb 3.13
Sb 0.0000 0.0000 0.5000  6 Pb 3.13
Sb 0.0000 0.5000 0.0000  6 Pb 3.13
Sb 0.0000 0.5000 0.5000  6 Pb 3.13
Sb 0.1250 0.7500 0.8750  4 Pb 3.00
Sb 0.1250 0.8750 0.2500  4 Pb 3.00
Sb 0.2500 0.1250 0.8750  4 Pb 3.00
Sb 0.2500 0.6250 0.3750  4 Pb 3.00
Sb 0.3750 0.2500 0.6250  4 Pb 3.00
Sb 0.3750 0.6250 0.7500  4 Pb 3.00
Sb 0.5000 0.0000 0.0000  6 Pb 3.13
Sb 0.5000 0.0000 0.5000  6 Pb 3.13
Sb 0.5000 0.5000 0.0000  6 Pb 3.13
Sb 0.5000 0.5000 0.5000  6 Pb 3.13
Sb 0.6250 0.3750 0.2500  4 Pb 3.00
Sb 0.6250 0.7500 0.3750  4 Pb 3.00
Sb 0.7500 0.3750 0.6250  4 Pb 3.00
Sb 0.7500 0.8750 0.1250  4 Pb 3.00
Sb 0.8750 0.1250 0.7500  4 Pb 3.00
Sb 0.8750 0.2500 0.1250  4 Pb 3.00
Pb 0.0639 0.2363 0.1279  2 Sb 3.00-3.13, 1 Mg 3.00
Pb 0.0639 0.3276 0.9360  2 Sb 3.00-3.13, 1 Mg 3.00
Pb 0.0640 0.6279 0.3916  2 Sb 3.00-3.13, 1 Mg 3.00
Pb 0.0640 0.9361 0.6724  2 Sb 3.00-3.13, 1 Mg 3.00
Pb 0.1084 0.7363 0.6724  2 Sb 3.00-3.13, 1 Mg 3.00
Pb 0.1084 0.8721 0.4360  2 Sb 3.00-3.13, 1 Mg 3.00
Pb 0.1279 0.0639 0.2363  2 Sb 3.00-3.13, 1 Mg 3.00
Pb 0.1279 0.5640 0.8916  2 Sb 3.00-3.13, 1 Mg 3.00
Pb 0.1724 0.2363 0.6084  2 Sb 3.00-3.13, 1 Mg 3.00
Pb 0.1724 0.4361 0.5640  2 Sb 3.00-3.13, 1 Mg 3.00
Pb 0.2363 0.1279 0.0639  2 Sb 3.00-3.13, 1 Mg 3.00
Pb 0.2363 0.6084 0.1724  2 Sb 3.00-3.13, 1 Mg 3.00
Pb 0.2637 0.3276 0.8916  2 Sb 3.00-3.13, 1 Mg 3.00
Pb 0.2637 0.4361 0.3721  2 Sb 3.00-3.13, 1 Mg 3.00
Pb 0.3276 0.8916 0.2637  2 Sb 3.00-3.13, 1 Mg 3.00
Pb 0.3276 0.9360 0.0639  2 Sb 3.00-3.13, 1 Mg 3.00
Pb 0.3721 0.2637 0.4361  2 Sb 3.00-3.13, 1 Mg 3.00
Pb 0.3721 0.6084 0.9360  2 Sb 3.00-3.13, 1 Mg 3.00
Pb 0.3916 0.0640 0.6279  2 Sb 3.00-3.13, 1 Mg 3.00
Pb 0.3916 0.8276 0.7637  2 Sb 3.00-3.13, 1 Mg 3.00
Pb 0.4360 0.1084 0.8721  2 Sb 3.00-3.13, 1 Mg 3.00
Pb 0.4361 0.3721 0.2637  2 Sb 3.00-3.13, 1 Mg 3.00
Pb 0.4361 0.5640 0.1724  2 Sb 3.00-3.13, 1 Mg 3.00
Pb 0.4360 0.8276 0.5639  2 Sb 3.00-3.13, 1 Mg 3.00
Pb 0.5640 0.1724 0.4361  2 Sb 3.00-3.13, 1 Mg 3.00
Pb 0.5639 0.4360 0.8276  2 Sb 3.00-3.13, 1 Mg 3.00
Pb 0.5639 0.6279 0.7363  2 Sb 3.00-3.13, 1 Mg 3.00
Pb 0.5640 0.8916 0.1279  2 Sb 3.00-3.13, 1 Mg 3.00
Pb 0.6084 0.1724 0.2363  2 Sb 3.00-3.13, 1 Mg 3.00
Pb 0.6084 0.9360 0.3721  2 Sb 3.00-3.13, 1 Mg 3.00
Pb 0.6279 0.3916 0.0640  2 Sb 3.00-3.13, 1 Mg 3.00
Pb 0.6279 0.7363 0.5639  2 Sb 3.00-3.13, 1 Mg 3.00
Pb 0.6724 0.0640 0.9361  2 Sb 3.00-3.13, 1 Mg 3.00
Pb 0.6724 0.1084 0.7363  2 Sb 3.00-3.13, 1 Mg 3.00
Pb 0.7363 0.5639 0.6279  2 Sb 3.00-3.13, 1 Mg 3.00
Pb 0.7363 0.6724 0.1084  2 Sb 3.00-3.13, 1 Mg 3.00
Pb 0.7637 0.3916 0.8276  2 Sb 3.00-3.13, 1 Mg 3.00
Pb 0.7637 0.8721 0.9361  2 Sb 3.00-3.13, 1 Mg 3.00
Pb 0.8276 0.5639 0.4360  2 Sb 3.00-3.13, 1 Mg 3.00
Pb 0.8276 0.7637 0.3916  2 Sb 3.00-3.13, 1 Mg 3.00
Pb 0.8721 0.4360 0.1084  2 Sb 3.00-3.13, 1 Mg 3.00
Pb 0.8721 0.9361 0.7637  2 Sb 3.00-3.13, 1 Mg 3.00
Pb 0.8916 0.1279 0.5640  2 Sb 3.00-3.13, 1 Mg 3.00
Pb 0.8916 0.2637 0.3276  2 Sb 3.00-3.13, 1 Mg 3.00
Pb 0.9360 0.0639 0.3276  2 Sb 3.00-3.13, 1 Mg 3.00
Pb 0.9360 0.3721 0.6084  2 Sb 3.00-3.13, 1 Mg 3.00
Pb 0.9361 0.6724 0.0640  2 Sb 3.00-3.13, 1 Mg 3.00
Pb 0.9361 0.7637 0.8721  2 Sb 3.00-3.13, 1 Mg 3.00

***

no.,energy (eV/atom),magnetization (μB per formula unit)
1,-9.556,0.00
2,-3.351,0.00